Entry 1:
Density functional theory data (PBE) for a relaxed structure of TmLuGa4.

Summary:
As for the calculated volume: 19.07 A^3/atom. Its symmetry is F-43m, No. 216. The calculation puts the formation energy at -506 meV/atom. As for the electronic total energy: -24.137 eV for the cell shown.

Lattice parameters (Å, degrees): 5.4491 5.4491 5.4491 60.00 60.00 60.00
Closest atoms and distances in Å follow each position.
Fractional coordinates of all 6 atoms:
Lu 0.0000 0.0000 0.0000  12 Ga 3.19, 4 Tm 3.34
Tm 0.2500 0.2500 0.2500  12 Ga 3.19, 4 Lu 3.34
Ga 0.6250 0.6250 0.1250  6 Ga 2.72
Ga 0.6250 0.1250 0.6250  6 Ga 2.72
Ga 0.6250 0.6250 0.6250  6 Ga 2.72
Ga 0.1250 0.6250 0.6250  6 Ga 2.72

Entry 2:
Density functional theory data (PBE) for a relaxed structure of SrTc3Cl.

Summary:
As for the calculated volume: 30.53 A^3/atom. Its symmetry is Pm-3m, No. 221. As for the electronic total energy: -20.224 eV for the cell shown. The calculation puts the raw formation energy at 2.8805 eV/atom.

Lattice parameters (Å, degrees): 5.3447 5.3447 5.3447 90.00 90.00 90.00
Closest atoms and distances in Å follow each position.
Fractional coordinates of all 5 atoms:
Sr 0.0000 0.0000 0.0000  6 Tc 2.67
Tc 0.0000 0.5000 0.0000  2 Sr 2.67
Tc 0.0000 0.0000 0.5000  2 Sr 2.67
Tc 0.5000 0.0000 0.0000  2 Sr 2.67
Cl 0.5000 0.5000 0.5000  12 Tc 3.78

Entry 3:
Density functional theory data (PBE) for a relaxed structure of GaSbTe.

Summary:
As for the calculated volume: 31.29 A^3/atom. Its symmetry is P2_1/c, No. 14. As for the electronic total energy: -41.863 eV for the cell shown. The calculation puts the raw formation energy at -0.0583 eV/atom.

Lattice parameters (Å, degrees): 5.8479 7.8273 8.3781 78.28 90.00 90.00
Closest atoms and distances in Å follow each position.
Fractional coordinates of all 12 atoms:
Te 0.9348 0.7730 0.9061  1 Ga 2.71, 1 Sb 2.87
Te 0.4348 0.7270 0.5939  1 Ga 2.71, 1 Sb 2.87
Te 0.0652 0.2270 0.0939  1 Ga 2.71, 1 Sb 2.87
Te 0.5652 0.2730 0.4061  1 Ga 2.71, 1 Sb 2.87
Sb 0.7765 0.9010 0.3724  2 Ga 2.69-2.78, 1 Te 2.87
Sb 0.2765 0.5990 0.1276  2 Ga 2.69-2.78, 1 Te 2.87
Sb 0.2235 0.0990 0.6276  2 Ga 2.69-2.78, 1 Te 2.87
Sb 0.7235 0.4009 0.8724  2 Ga 2.69-2.78, 1 Te 2.87
Ga 0.5919 0.8695 0.0858  1 Ga 2.49, 2 Sb 2.69-2.78, 1 Te 2.71
Ga 0.0919 0.6305 0.4142  1 Ga 2.49, 2 Sb 2.69-2.78, 1 Te 2.71
Ga 0.4081 0.1305 0.9142  1 Ga 2.49, 2 Sb 2.69-2.78, 1 Te 2.71
Ga 0.9081 0.3695 0.5858  1 Ga 2.49, 2 Sb 2.69-2.78, 1 Te 2.71

Entry 4:
Density functional theory data (PBE) for a relaxed structure of K4OsCl.

Summary:
As for the calculated volume: 43.26 A^3/atom. Its symmetry is F-43m, No. 216. As for the electronic total energy: -12.633 eV for the cell shown. The calculation puts the raw formation energy at 0.8056 eV/atom.

Lattice parameters (Å, degrees): 7.1602 7.1602 7.1602 60.00 60.00 60.00
Closest atoms and distances in Å follow each position.
Fractional coordinates of all 6 atoms:
K 0.8758 0.3747 0.3747  6 K 3.57-3.59
K 0.3747 0.3747 0.8758  6 K 3.57-3.59
K 0.3747 0.8758 0.3747  6 K 3.57-3.59
K 0.3747 0.3747 0.3747  6 K 3.57-3.59
Os 0.7500 0.7500 0.7500  12 K 4.20, 4 Cl 4.38
Cl 0.0000 0.0000 0.0000  12 K 4.20, 4 Os 4.38

Entry 5:
Density functional theory data (PBE) for a relaxed structure of Pm2Pr3ErS6.

Summary:
As for the calculated volume: 23.35 A^3/atom. Its symmetry is C2/m, No. 12. As for the electronic total energy: -77.385 eV for the cell shown. The calculation puts the raw formation energy at -2.0181 eV/atom.

Lattice parameters (Å, degrees): 6.9897 6.9897 7.0289 99.52 99.52 120.14
Closest atoms and distances in Å follow each position.
Fractional coordinates of all 12 atoms:
Pm 0.3330 0.6670 0.0000  6 S 2.83-2.85
Pm 0.6670 0.3330 0.0000  6 S 2.83-2.85
Pr 0.1710 0.8290 0.5000  6 S 2.88-2.93
Pr 0.8290 0.1710 0.5000  6 S 2.88-2.93
Pr 0.5000 0.5000 0.5000  6 S 2.89-2.95
Er 0.0000 0.0000 0.0000  6 S 2.75-2.76
S 0.9213 0.5977 0.7634  1 Er 2.75, 2 Pm 2.83-2.84, 3 Pr 2.88-2.93
S 0.7567 0.7567 0.2403  1 Er 2.76, 2 Pm 2.85, 3 Pr 2.91-2.95
S 0.0787 0.4023 0.2366  1 Er 2.75, 2 Pm 2.83-2.84, 3 Pr 2.88-2.93
S 0.5977 0.9213 0.7634  1 Er 2.75, 2 Pm 2.83-2.84, 3 Pr 2.88-2.93
S 0.2433 0.2433 0.7597  1 Er 2.76, 2 Pm 2.85, 3 Pr 2.91-2.95
S 0.4023 0.0787 0.2366  1 Er 2.75, 2 Pm 2.83-2.84, 3 Pr 2.88-2.93

Entry 6:
Density functional theory data (PBE) for a relaxed structure of La2Ge2P.

Summary:
As for the calculated volume: 28.71 A^3/atom. Its symmetry is P4/mbm, No. 127. The calculation puts the formation energy at -690 meV/atom. As for the electronic total energy: -55.899 eV for the cell shown.

Lattice parameters (Å, degrees): 8.0070 8.0070 4.4777 90.00 90.00 90.00
Closest atoms and distances in Å follow each position.
Fractional coordinates of all 10 atoms:
P 0.0000 0.0000 0.0000  4 La 2.92
P 0.5000 0.5000 0.0000  4 La 2.92
Ge 0.1058 0.6058 0.5000  1 Ge 2.40
Ge 0.6058 0.8942 0.5000  1 Ge 2.40
Ge 0.8942 0.3942 0.5000  1 Ge 2.40
Ge 0.3942 0.1058 0.5000  1 Ge 2.40
La 0.3123 0.8123 0.0000  2 P 2.92, 2 Ge 3.24
La 0.8123 0.6877 0.0000  2 P 2.92, 2 Ge 3.24
La 0.6877 0.1877 0.0000  2 P 2.92, 2 Ge 3.24
La 0.1877 0.3123 0.0000  2 P 2.92, 2 Ge 3.24

Entry 7:
Density functional theory data (PBE) for a relaxed structure of Pb3Se.

Summary:
As for the calculated volume: 29.47 A^3/atom. Its symmetry is Pm-3m, No. 221. As for the electronic total energy: -14.758 eV for the cell shown. The calculation puts the raw formation energy at -0.0371 eV/atom.

Lattice parameters (Å, degrees): 4.9034 4.9034 4.9034 90.00 90.00 90.00
Closest atoms and distances in Å follow each position.
Fractional coordinates of all 4 atoms:
Pb 0.0000 0.5000 0.5000  8 Pb 3.47, 4 Se 3.47
Pb 0.5000 0.0000 0.5000  8 Pb 3.47, 4 Se 3.47
Pb 0.5000 0.5000 0.0000  8 Pb 3.47, 4 Se 3.47
Se 0.0000 0.0000 0.0000  12 Pb 3.47

Entry 8:
Density functional theory data (PBE) for a relaxed structure of MgPF6.

Summary:
As for the calculated volume: 12.58 A^3/atom. Its symmetry is R-3, No. 148. As for the electronic total energy: -38.624 eV for the cell shown. The calculation puts the raw formation energy at -2.5490 eV/atom.

Lattice parameters (Å, degrees): 5.1234 5.1239 5.3238 61.24 61.25 60.00
Closest atoms and distances in Å follow each position.
Fractional coordinates of all 8 atoms:
Mg 0.5000 0.5000 0.5000  6 F 2.03
P 0.0000 0.0000 0.0000  6 F 1.80
F 0.1373 0.3312 0.7646  1 P 1.80
F 0.7668 0.1373 0.7647  1 P 1.80
F 0.6689 0.2332 0.2353  1 P 1.80
F 0.2332 0.8627 0.2353  1 P 1.80
F 0.8627 0.6688 0.2354  1 P 1.80
F 0.3311 0.7668 0.7647  1 P 1.80

Entry 9:
Density functional theory data (PBE) for a relaxed structure of NbV6Mo.

Summary:
As for the calculated volume: 14.41 A^3/atom. Its symmetry is Amm2, No. 38. The calculation puts the formation energy at -5 meV/atom. As for the electronic total energy: -75.656 eV for the cell shown.

Lattice parameters (Å, degrees): 4.3861 8.5468 5.2645 144.27 90.00 90.00
Closest atoms and distances in Å follow each position.
Fractional coordinates of all 8 atoms:
Nb 0.0000 0.8765 0.7530  6 V 2.60-2.69, 2 Mo 2.71
V 0.0000 0.8806 0.2517  6 V 2.59-2.69, 2 Nb 2.60-2.67
V 0.0000 0.3712 0.2517  6 V 2.59-2.69, 2 Nb 2.60-2.67
V 0.0000 0.3743 0.7486  6 V 2.59-2.67, 2 Mo 2.66
V 0.5000 0.6208 0.7483  6 V 2.59-2.69, 2 Mo 2.59-2.68
V 0.5000 0.1275 0.7483  6 V 2.59-2.69, 2 Mo 2.59-2.68
V 0.5000 0.1309 0.2617  6 V 2.59-2.68, 2 Nb 2.69
Mo 0.5000 0.6182 0.2365  6 V 2.59-2.68, 2 Nb 2.71

Entry 10:
Density functional theory data (PBE) for a relaxed structure of NaHfIn.

Summary:
As for the calculated volume: 23.94 A^3/atom. Its symmetry is C2/m, No. 12. The calculation puts the formation energy at 86 meV/atom. As for the electronic total energy: -27.504 eV for the cell shown.

Lattice parameters (Å, degrees): 17.7892 5.8405 5.8405 148.85 148.93 31.07
Closest atoms and distances in Å follow each position.
Fractional coordinates of all 6 atoms:
Na 0.6702 0.5054 0.4946  4 Na 3.14-3.19, 5 In 3.14-3.46, 3 Hf 3.24-3.49
Na 0.3298 0.4946 0.5054  4 Na 3.14-3.19, 5 In 3.14-3.46, 3 Hf 3.24-3.49
Hf 0.8520 0.9941 0.0059  4 Hf 2.99-3.14, 4 In 3.12-3.27, 1 Na 3.24
Hf 0.1480 0.0059 0.9941  4 Hf 2.99-3.14, 4 In 3.12-3.27, 1 Na 3.24
In 0.0000 0.5000 0.5000  6 Hf 3.12-3.44, 2 In 3.14, 4 Na 3.14
In 0.5000 0.0000 0.0000  2 In 3.14, 6 Na 3.19-3.46, 4 Hf 3.27

Entry 11:
Density functional theory data (PBE) for a relaxed structure of AgHgI2.

Summary:
As for the calculated volume: 31.75 A^3/atom. Its symmetry is R-3m, No. 166. As for the electronic total energy: -13.479 eV for the cell shown. The calculation puts the raw formation energy at -0.1216 eV/atom.

Lattice parameters (Å, degrees): 7.9041 4.4275 7.6679 90.00 108.81 90.00
Closest atoms and distances in Å follow each position.
Fractional coordinates of all 8 atoms:
I 0.7205 0.0000 0.2406  3 Ag 3.04, 3 Hg 3.30
I 0.2795 0.0000 0.7594  3 Ag 3.04, 3 Hg 3.30
I 0.7205 0.5000 0.7406  3 Ag 3.04, 3 Hg 3.30
I 0.2795 0.5000 0.2594  3 Ag 3.04, 3 Hg 3.30
Hg 0.0000 0.0000 0.0000  6 I 3.30
Hg 0.0000 0.5000 0.5000  6 I 3.30
Ag 0.5000 0.0000 0.5000  6 I 3.04
Ag 0.5000 0.5000 0.0000  6 I 3.04